## LaTmCo10 (GGA-PBE)

Data for an optimized crystal structure of LaTmCo10.

The structure belongs to space group Pmmm (No. 47); the cell edges are 3.950, 4.946 and 8.637 Å and the angles 90.00°, 90.00° and 90.00°. The inequivalent atoms are La at (0.000, 0.000, 0.000), Tm at (0.000, 0.500, 0.500), Co at (0.000, 0.000, 0.337), Co at (0.000, 0.500, 0.175), Co at (0.500, 0.000, 0.500), Co at (0.500, 0.259, 0.261) and Co at (0.500, 0.500, 0.000).

As for the calculated formation energy: -87 kJ/mol of formula units. For the total moment, the calculation gives 14.10 Bohr magnetons per cell. The total energy comes out at -6.78 eV per atom.

---

## Ce2SnPd3 (GGA-PBE)

Data for an optimized crystal structure of Ce2SnPd3.

The structure belongs to space group P6_3/mmc (No. 194); the cell edges are 4.7478, 4.7478 and 13.0760 Å and the angles 90.00°, 90.00° and 120.00°. The inequivalent atoms are Ce at (0.0000, 0.0000, 0.1111), Sn at (0.3333, 0.6667, 0.2500), Pd at (0.3333, 0.6667, 0.0066) and Pd at (0.3333, 0.6667, 0.7500).

As for the calculated formation energy: -414 kJ/mol of formula units. For the total moment, the calculation gives 2.99 Bohr magnetons per cell. The total energy comes out at -5.96 eV per atom.

---

## Cs3PrAs2O8 (GGA-PBE)

Data for an optimized crystal structure of Cs3PrAs2O8.

The structure belongs to space group P-3m1 (No. 164); the cell edges are 6.1902, 6.1902 and 8.7752 Å and the angles 90.00°, 90.00° and 120.00°. The inequivalent atoms are Cs at (0.0000, 0.0000, 0.0000), Cs at (0.3333, 0.6667, 0.7519), Pr at (0.0000, 0.0000, 0.5000), As at (0.3333, 0.6667, 0.2746), O at (0.1811, 0.3622, 0.3422) and O at (0.3333, 0.6667, 0.0814).

For the total moment, the calculation gives 0.00 Bohr magnetons per cell. The calculation puts the raw formation energy at -1.97 eV/atom. The total energy comes out at -5.99 eV per atom.